## Sm3Dy6Tm2Sc (GGA-PBE)

Data for a relaxed structure of Sm3Dy6Tm2Sc.

Unit cell a=6.1263 b=10.6032 c=11.6869 alpha=90.00 beta=100.04 gamma=90.00
Space group C2/m (No. 12)
One atom of each set of equivalent atoms:
Sm  0.0000  0.0000  0.0000
Sm  0.0000  0.3334  0.0000
Dy  0.2469  0.3344  0.7440
Dy  0.2502  0.0000  0.7441
Tm  0.0000  0.1666  0.5000
Sc  0.0000  0.5000  0.5000

Summary:
Total magnetization in μB/cell: 0.0
VASP energy in eV per cell: -113.386